Entry i
! MnSe2I | Alexandria via LeMat-Bulk | PBE | relaxed; values from VASP
&SYSTEM
  ibrav = 0, nat = 16, ntyp = 3
/
ATOMIC_SPECIES
I 126.90 I.upf
Mn 54.94 Mn.upf
Se 78.96 Se.upf
CELL_PARAMETERS angstrom
-16.867 -6.107 -5.354
0.640 -3.687 2.189
3.024 4.297 6.353
ATOMIC_POSITIONS angstrom
I -3.916 -1.547 -0.927
I -9.286 -3.951 4.115
I -2.605 -1.660 2.793
I -10.597 -3.838 0.396
Mn -8.464 -2.088 0.403
Mn -4.738 -3.410 2.785
Mn -11.764 -3.712 2.926
Mn -1.438 -1.786 0.262
Se -13.512 -5.426 1.905
Se 0.310 -0.071 1.283
Se -6.514 -1.537 2.116
Se -6.688 -3.961 1.073
Se 1.224 -0.664 4.041
Se -14.427 -4.834 -0.852
Se -7.643 -3.136 -1.823
Se -5.559 -2.362 5.011
! theoretical density	4.87	g/cm3
! size of the total moment	16.207	μB per cell



Entry ii
! MnSe2I | Alexandria via LeMat-Bulk | PBE | relaxed; values from VASP
&SYSTEM
  ibrav = 0, nat = 4, ntyp = 3
/
ATOMIC_SPECIES
I 126.90 I.upf
Mn 54.94 Mn.upf
Se 78.96 Se.upf
CELL_PARAMETERS angstrom
3.542 -2.045 0.000
0.000 4.090 0.000
0.000 0.000 8.358
ATOMIC_POSITIONS angstrom
I 0.000 0.000 7.963
Mn 1.181 2.045 3.695
Se 1.181 2.045 5.862
Se 2.361 0.000 2.998
! theoretical density	4.66	g/cm3
! size of the total moment	2.000	μB per cell



Entry iii
! MnSe2I | Alexandria via LeMat-Bulk | PBE | relaxed; values from VASP
&SYSTEM
  ibrav = 0, nat = 8, ntyp = 3
/
ATOMIC_SPECIES
I 126.90 I.upf
Mn 54.94 Mn.upf
Se 78.96 Se.upf
CELL_PARAMETERS angstrom
-9.954 6.634 -5.347
-5.924 0.445 2.526
0.998 -0.690 6.341
ATOMIC_POSITIONS angstrom
I -4.470 0.510 4.687
I -10.763 3.761 4.383
Mn -3.364 1.937 -0.056
Mn -9.311 5.206 -0.984
Se -7.599 2.475 4.361
Se -12.740 5.784 1.982
Se -6.555 1.200 7.317
Se -9.649 4.611 1.256
! theoretical density	5.61	g/cm3
! size of the total moment	4.638	μB per cell



Energy relative to the most stable one, in kJ/mol of atoms: entry i 0.0; entry ii 21.4; entry iii 8.2